First-principles (PBE) data for KCu after structural relaxation, as listed in Alexandria.

- VASP energy (hartree per atom) = -0.083
- polymorph energy (0 for the lowest one) (eV per atom) = 0.096
- formation energy (eV/atom) = 0.34

The structure in CIF format:
```
data_KCu
_chemical_formula_sum 'K2 Cu2'
_cell_length_a 3.5096
_cell_length_b 3.5096
_cell_length_c 9.7670
_cell_angle_alpha 90.00
_cell_angle_beta 90.00
_cell_angle_gamma 90.00
_symmetry_space_group_name_H-M 'P 4/n m m'
_symmetry_Int_Tables_number 129
loop_
_symmetry_equiv_pos_as_xyz
'x,y,z'
'-x,-y,-z'
'-y+1/2,x,z'
'y+1/2,-x,-z'
'-x+1/2,-y+1/2,z'
'x+1/2,y+1/2,-z'
'y,-x+1/2,z'
'-y,x+1/2,-z'
'x+1/2,-y,-z'
'-x+1/2,y,z'
'-y,-x,-z'
'y,x,z'
'-x,y+1/2,-z'
'x,-y+1/2,z'
'y+1/2,x+1/2,-z'
'-y+1/2,-x+1/2,z'
loop_
_atom_site_label
_atom_site_type_symbol
_atom_site_fract_x
_atom_site_fract_y
_atom_site_fract_z
K1 K 0.2500 0.2500 0.2105
Cu1 Cu 0.2500 0.2500 0.5225
```

First-principles (PBE) data for TaCu5S6 after structural relaxation, as listed in Alexandria.

- VASP energy (hartree per atom) = -0.184
- formation energy (no corrections) (eV/atom) = -0.24

The structure in CIF format:
```
data_TaCu5S6
_chemical_formula_sum 'Ta2 Cu10 S12'
_cell_length_a 6.3498
_cell_length_b 10.4799
_cell_length_c 6.0081
_cell_angle_alpha 90.00
_cell_angle_beta 107.73
_cell_angle_gamma 90.00
_symmetry_space_group_name_H-M 'C 1 2/m 1'
_symmetry_Int_Tables_number 12
loop_
_symmetry_equiv_pos_as_xyz
'x,y,z'
'-x,-y,-z'
'-x,y,-z'
'x,-y,z'
'x+1/2,y+1/2,z'
'-x+1/2,-y+1/2,-z'
'-x+1/2,y+1/2,-z'
'x+1/2,-y+1/2,z'
loop_
_atom_site_label
_atom_site_type_symbol
_atom_site_fract_x
_atom_site_fract_y
_atom_site_fract_z
Ta1 Ta 0.0000 0.0000 0.0000
Cu1 Cu 0.0000 0.1266 0.5000
Cu2 Cu 0.0000 0.3167 0.0000
Cu3 Cu 0.0000 0.5000 0.5000
S1 S 0.2083 0.5000 0.2076
S2 S 0.2206 0.1628 0.2643
```

First-principles (PBE) data for PdC after structural relaxation, as listed in Alexandria.

- VASP energy (hartree per atom) = -0.217
- polymorph energy (0 for the lowest one) (eV per atom) = 0.489
- formation energy (eV/atom) = 1.31

The structure in CIF format:
```
data_PdC
_chemical_formula_sum 'Pd4 C4'
_cell_length_a 5.7320
_cell_length_b 5.7320
_cell_length_c 3.3619
_cell_angle_alpha 90.00
_cell_angle_beta 90.00
_cell_angle_gamma 90.00
_symmetry_space_group_name_H-M 'P 42/m n m'
_symmetry_Int_Tables_number 136
_symmetry_space_group_name_Hall '-P 4n 2n'
loop_
_atom_site_label
_atom_site_type_symbol
_atom_site_fract_x
_atom_site_fract_y
_atom_site_fract_z
Pd1 Pd 0.1901 0.1901 0.0000
C1 C 0.1708 0.8292 0.0000
```

First-principles (PBE) data for ThCuGe after structural relaxation, as listed in Alexandria.

- VASP energy (hartree per atom) = -0.212
- formation energy (eV/atom) = -0.40

The structure in CIF format:
```
data_ThCuGe
_chemical_formula_sum 'Th4 Cu4 Ge4'
_cell_length_a 6.4412
_cell_length_b 6.4412
_cell_length_c 6.4412
_cell_angle_alpha 90.00
_cell_angle_beta 90.00
_cell_angle_gamma 90.00
_symmetry_space_group_name_H-M 'F -4 3 m'
_symmetry_Int_Tables_number 216
_symmetry_space_group_name_Hall 'F -4 2 3'
loop_
_atom_site_label
_atom_site_type_symbol
_atom_site_fract_x
_atom_site_fract_y
_atom_site_fract_z
Th1 Th 0.0000 0.0000 0.0000
Cu1 Cu 0.2500 0.2500 0.2500
Ge1 Ge 0.0000 0.0000 0.5000
```

First-principles (PBE) data for ScCd2Sb after structural relaxation, as listed in Alexandria.

- VASP energy (hartree per atom) = -0.122
- formation energy (no corrections) (eV/atom) = -0.25

The structure in CIF format:
```
data_ScCd2Sb
_chemical_formula_sum 'Sc1 Cd2 Sb1'
_cell_length_a 3.2704
_cell_length_b 4.2862
_cell_length_c 7.0003
_cell_angle_alpha 90.00
_cell_angle_beta 101.99
_cell_angle_gamma 90.00
_symmetry_space_group_name_H-M 'P 1 m 1'
_symmetry_Int_Tables_number 6
loop_
_symmetry_equiv_pos_as_xyz
'x,y,z'
'x,-y,z'
loop_
_atom_site_label
_atom_site_type_symbol
_atom_site_fract_x
_atom_site_fract_y
_atom_site_fract_z
Sc1 Sc 0.0000 0.0000 0.0000
Cd1 Cd 0.2225 0.0000 0.4642
Cd2 Cd 0.6210 0.5000 0.2572
Sb1 Sb 0.4086 0.5000 0.7961
```

First-principles (PBE) data for Ce3Nd2ScSe6 after structural relaxation, as listed in Alexandria.

- VASP energy (hartree per atom) = -0.232
- formation energy (no corrections) (eV/atom) = -1.77

The structure in CIF format:
```
data_Ce3Nd2ScSe6
_chemical_formula_sum 'Ce6 Nd4 Sc2 Se12'
_cell_length_a 18.1470
_cell_length_b 4.1482
_cell_length_c 8.3739
_cell_angle_alpha 90.00
_cell_angle_beta 103.40
_cell_angle_gamma 90.00
_symmetry_space_group_name_H-M 'C 1 2/m 1'
_symmetry_Int_Tables_number 12
loop_
_symmetry_equiv_pos_as_xyz
'x,y,z'
'-x,-y,-z'
'-x,y,-z'
'x,-y,z'
'x+1/2,y+1/2,z'
'-x+1/2,-y+1/2,-z'
'-x+1/2,y+1/2,-z'
'x+1/2,-y+1/2,z'
loop_
_atom_site_label
_atom_site_type_symbol
_atom_site_fract_x
_atom_site_fract_y
_atom_site_fract_z
Ce1 Ce 0.0000 0.0000 0.0000
Ce2 Ce 0.1704 0.5000 0.3360
Nd1 Nd 0.1658 0.5000 0.8328
Sc1 Sc 0.0000 0.0000 0.5000
Se1 Se 0.0026 0.5000 0.2690
Se2 Se 0.1582 0.0000 0.5778
Se3 Se 0.1664 0.0000 0.0850
```

First-principles (PBE) data for U2Ni3P3 after structural relaxation, as listed in Alexandria.

- VASP energy (hartree per atom) = -0.279
- formation energy (eV/atom) = -0.57

The structure in CIF format:
```
data_U2Ni3P3
_chemical_formula_sum 'U4 Ni6 P6'
_cell_length_a 6.7467
_cell_length_b 6.7467
_cell_length_c 7.2569
_cell_angle_alpha 90.00
_cell_angle_beta 90.00
_cell_angle_gamma 120.00
_symmetry_space_group_name_H-M 'P 63/m c m'
_symmetry_Int_Tables_number 193
_symmetry_space_group_name_Hall '-P 6c 2'
loop_
_atom_site_label
_atom_site_type_symbol
_atom_site_fract_x
_atom_site_fract_y
_atom_site_fract_z
U1 U 0.3333 0.6667 0.0000
Ni1 Ni 0.0000 0.3398 0.2500
P1 P 0.0000 0.3236 0.7500
```

First-principles (PBE) data for Mg3H3Ir after structural relaxation, as listed in Alexandria.

- VASP energy (hartree per atom) = -0.133
- polymorph energy (0 for the lowest one) (eV per atom) = 0.072

The structure in CIF format:
```
data_Mg3H3Ir
_chemical_formula_sum 'Mg6 H6 Ir2'
_cell_length_a 3.3875
_cell_length_b 7.6981
_cell_length_c 6.8532
_cell_angle_alpha 90.00
_cell_angle_beta 90.00
_cell_angle_gamma 90.00
_symmetry_space_group_name_H-M 'I m m 2'
_symmetry_Int_Tables_number 44
loop_
_symmetry_equiv_pos_as_xyz
'x,y,z'
'-x,-y,z'
'-x,y,z'
'x,-y,z'
'x+1/2,y+1/2,z+1/2'
'-x+1/2,-y+1/2,z+1/2'
'-x+1/2,y+1/2,z+1/2'
'x+1/2,-y+1/2,z+1/2'
loop_
_atom_site_label
_atom_site_type_symbol
_atom_site_fract_x
_atom_site_fract_y
_atom_site_fract_z
Mg1 Mg 0.0000 0.0000 0.0000
Mg2 Mg 0.0000 0.1821 0.5512
H1 H 0.0000 0.0000 0.7348
H2 H 0.0000 0.2911 0.8683
Ir1 Ir 0.0000 0.5000 0.7882
```

First-principles (PBE) data for Ca2TlAs after structural relaxation, as listed in Alexandria.

- VASP energy (hartree per atom) = -0.124
- polymorph energy (0 for the lowest one) (eV per atom) = 0.098
- formation energy (eV/atom) = -0.62

The structure in CIF format:
```
data_Ca2TlAs
_chemical_formula_sum 'Ca4 Tl2 As2'
_cell_length_a 4.8642
_cell_length_b 4.8642
_cell_length_c 8.9090
_cell_angle_alpha 90.00
_cell_angle_beta 90.00
_cell_angle_gamma 90.00
_symmetry_space_group_name_H-M 'I 4/m m m'
_symmetry_Int_Tables_number 139
_symmetry_space_group_name_Hall '-I 4 2'
loop_
_atom_site_label
_atom_site_type_symbol
_atom_site_fract_x
_atom_site_fract_y
_atom_site_fract_z
Ca1 Ca 0.0000 0.5000 0.2500
Tl1 Tl 0.0000 0.0000 0.0000
As1 As 0.0000 0.0000 0.5000
```

First-principles (PBE) data for V2GaB4 after structural relaxation, as listed in Alexandria.

- VASP energy (hartree per atom) = -0.207
- formation energy (eV/atom) = 1.22

The structure in CIF format:
```
data_V2GaB4
_chemical_formula_sum 'V4 Ga2 B8'
_cell_length_a 3.8921
_cell_length_b 3.8921
_cell_length_c 10.8413
_cell_angle_alpha 90.00
_cell_angle_beta 90.00
_cell_angle_gamma 90.00
_symmetry_space_group_name_H-M 'I 4/m m m'
_symmetry_Int_Tables_number 139
_symmetry_space_group_name_Hall '-I 4 2'
loop_
_atom_site_label
_atom_site_type_symbol
_atom_site_fract_x
_atom_site_fract_y
_atom_site_fract_z
V1 V 0.0000 0.0000 0.1158
Ga1 Ga 0.0000 0.0000 0.5000
B1 B 0.0000 0.0000 0.3070
B2 B 0.0000 0.5000 0.0000
```

First-principles (PBE) data for Hf6Ti2Tc after structural relaxation, as listed in Alexandria.

- VASP energy (hartree per atom) = -0.343
- formation energy (eV/atom) = 0.20

The structure in CIF format:
```
data_Hf6Ti2Tc
_chemical_formula_sum 'Hf12 Ti4 Tc2'
_cell_length_a 10.3095
_cell_length_b 8.2193
_cell_length_c 5.0714
_cell_angle_alpha 90.00
_cell_angle_beta 119.29
_cell_angle_gamma 90.00
_symmetry_space_group_name_H-M 'C 1 2/m 1'
_symmetry_Int_Tables_number 12
loop_
_symmetry_equiv_pos_as_xyz
'x,y,z'
'-x,-y,-z'
'-x,y,-z'
'x,-y,z'
'x+1/2,y+1/2,z'
'-x+1/2,-y+1/2,-z'
'-x+1/2,y+1/2,-z'
'x+1/2,-y+1/2,z'
loop_
_atom_site_label
_atom_site_type_symbol
_atom_site_fract_x
_atom_site_fract_y
_atom_site_fract_z
Hf1 Hf 0.0000 0.1814 0.0000
Hf2 Hf 0.1619 0.3065 0.6613
Ti1 Ti 0.1571 0.5000 0.1561
Tc1 Tc 0.0000 0.0000 0.5000
```

First-principles (PBE) data for Na2TiCu after structural relaxation, as listed in Alexandria.

- VASP energy (hartree per atom) = -0.105
- polymorph energy (0 for the lowest one) (eV per atom) = 0.000
- formation energy (eV/atom) = 0.80

The structure in CIF format:
```
data_Na2TiCu
_chemical_formula_sum 'Na8 Ti4 Cu4'
_cell_length_a 8.3838
_cell_length_b 8.3838
_cell_length_c 5.3717
_cell_angle_alpha 90.00
_cell_angle_beta 90.00
_cell_angle_gamma 90.00
_symmetry_space_group_name_H-M 'I -4 2 d'
_symmetry_Int_Tables_number 122
_symmetry_space_group_name_Hall 'I -4 2bw'
loop_
_atom_site_label
_atom_site_type_symbol
_atom_site_fract_x
_atom_site_fract_y
_atom_site_fract_z
Na1 Na 0.2008 0.2500 0.1250
Ti1 Ti 0.0000 0.0000 0.5000
Cu1 Cu 0.0000 0.0000 0.0000
```